i | Computed, not measured: a geometry-optimized Ca2La2N structure at the GGA-PBE level of DFT.

abc: 3.803 3.803 10.075
angles: 79.12 79.12 90.00
Element x y z (fractional)
Ca 0.750 0.250 0.500
Ca 0.250 0.750 0.500
La 0.575 0.575 0.849
La 0.425 0.425 0.151
N 0.000 0.000 0.000

Output
Fermi-level density of states (states/eV per cell): 4.730
Total magnetic moment (Bohr magnetons per cell): 0.0

---

ii | Computed, not measured: a geometry-optimized Ca2La2N structure at the GGA-PBE level of DFT.

abc: 6.910 6.910 7.100
angles: 90.00 90.00 90.00
Element x y z (fractional)
Ca 0.672 0.828 0.500
Ca 0.828 0.328 0.500
Ca 0.172 0.672 0.500
Ca 0.328 0.172 0.500
La 0.693 0.193 0.000
La 0.807 0.693 0.000
La 0.307 0.807 0.000
La 0.193 0.307 0.000
N 0.500 0.500 0.000
N 0.000 0.000 0.000

Output
Fermi-level density of states (states/eV per cell): 4.671
Total magnetic moment (Bohr magnetons per cell): 0.0

---

Energies relative to the most stable structure are i 74.5; ii 0.0, reported in kJ/mol of atoms.

---

i | Computed, not measured: a geometry-optimized CaLa2SbN structure at the GGA-PBE level of DFT.

abc: 5.866 5.434 5.866
angles: 90.00 90.00 90.00
Element x y z (fractional)
Ca 0.000 0.000 0.000
La 0.000 0.000 0.500
La 0.500 0.000 0.000
Sb 0.000 0.500 0.000
N 0.500 0.500 0.500

Output
Fermi-level density of states (states/eV per cell): 5.746
Total magnetic moment (Bohr magnetons per cell): 1.9

---

ii | Computed, not measured: a geometry-optimized CaLa2SbN structure at the GGA-PBE level of DFT.

abc: 5.073 5.073 4.922
angles: 90.00 90.00 90.00
Element x y z (fractional)
Ca 0.000 0.000 0.500
La 0.500 0.000 0.000
La 0.000 0.500 0.000
N 0.000 0.000 0.000
Sb 0.500 0.500 0.500

Output
Fermi-level density of states (states/eV per cell): 3.071
Total magnetic moment (Bohr magnetons per cell): 0.0

---

Energies relative to the most stable structure are i 232.8; ii 0.0, reported in kJ/mol of atoms.

---

i | Computed, not measured: a geometry-optimized CaLaSe2N structure at the GGA-PBE level of DFT.

abc: 5.792 5.792 4.320
angles: 90.00 90.00 90.00
Element x y z (fractional)
Se 0.500 0.000 0.000
Se 0.000 0.500 0.000
Ca 0.500 0.500 0.500
La 0.000 0.000 0.000
N 0.000 0.000 0.500

Output
Fermi-level density of states (states/eV per cell): 3.795
Total magnetic moment (Bohr magnetons per cell): 1.2

---

ii | Computed, not measured: a geometry-optimized CaLaSe2N structure at the GGA-PBE level of DFT.

abc: 5.414 5.414 4.385
angles: 90.00 90.00 90.00
Element x y z (fractional)
N 0.000 0.000 0.500
La 0.500 0.500 0.500
Se 0.000 0.500 0.000
Se 0.500 0.000 0.000
Ca 0.000 0.000 0.000

Output
Fermi-level density of states (states/eV per cell): 1.312
Total magnetic moment (Bohr magnetons per cell): 2.0

---

Energies relative to the most stable structure are i 0.0; ii 8.3, reported in kJ/mol of atoms.

---

i | Computed, not measured: a geometry-optimized SrCaLa2N structure at the GGA-PBE level of DFT.

abc: 5.168 5.168 5.919
angles: 90.00 90.00 90.00
Element x y z (fractional)
La 0.000 0.500 0.000
La 0.500 0.000 0.000
N 0.000 0.000 0.000
Ca 0.500 0.500 0.500
Sr 0.000 0.000 0.500

Output
Fermi-level density of states (states/eV per cell): 5.848
Total magnetic moment (Bohr magnetons per cell): 0.0

---

ii | Computed, not measured: a geometry-optimized SrCaLa2N structure at the GGA-PBE level of DFT.

abc: 5.223 5.223 5.704
angles: 90.00 90.00 90.00
Element x y z (fractional)
N 0.000 0.000 0.000
Ca 0.000 0.000 0.500
Sr 0.500 0.500 0.500
La 0.000 0.500 0.000
La 0.500 0.000 0.000

Output
Fermi-level density of states (states/eV per cell): 7.148
Total magnetic moment (Bohr magnetons per cell): 0.8

---

Energies relative to the most stable structure are i 0.0; ii 7.7, reported in kJ/mol of atoms.

---

i | Computed, not measured: a geometry-optimized CaLaTe2N structure at the GGA-PBE level of DFT.

abc: 5.843 5.843 4.426
angles: 90.00 90.00 90.00
Element x y z (fractional)
Te 0.500 0.000 0.000
Te 0.000 0.500 0.000
N 0.000 0.000 0.500
La 0.500 0.500 0.500
Ca 0.000 0.000 0.000

Output
Fermi-level density of states (states/eV per cell): 1.232
Total magnetic moment (Bohr magnetons per cell): 2.0

---

ii | Computed, not measured: a geometry-optimized CaLaTe2N structure at the GGA-PBE level of DFT.

abc: 6.390 6.390 4.102
angles: 90.00 90.00 90.00
Element x y z (fractional)
Te 0.000 0.500 0.000
Te 0.500 0.000 0.000
Ca 0.500 0.500 0.500
N 0.000 0.000 0.500
La 0.000 0.000 0.000

Output
Fermi-level density of states (states/eV per cell): 3.262
Total magnetic moment (Bohr magnetons per cell): 0.3

---

Energies relative to the most stable structure are i 16.1; ii 0.0, reported in kJ/mol of atoms.

---

i | Computed, not measured: a geometry-optimized CaLaTeN2 structure at the GGA-PBE level of DFT.

abc: 4.601 4.601 5.786
angles: 90.00 90.00 90.00
Element x y z (fractional)
N 0.000 0.500 0.000
N 0.500 0.000 0.000
Ca 0.000 0.000 0.000
Te 0.000 0.000 0.500
La 0.500 0.500 0.500

Output
Fermi-level density of states (states/eV per cell): 3.782
Total magnetic moment (Bohr magnetons per cell): 3.0

---

ii | Computed, not measured: a geometry-optimized CaLaTeN2 structure at the GGA-PBE level of DFT.

abc: 4.435 4.435 6.682
angles: 90.00 90.00 90.00
Element x y z (fractional)
La 0.000 0.000 0.000
N 0.000 0.500 0.000
N 0.500 0.000 0.000
Ca 0.500 0.500 0.500
Te 0.000 0.000 0.500

Output
Fermi-level density of states (states/eV per cell): 4.274
Total magnetic moment (Bohr magnetons per cell): 0.6

---

Energies relative to the most stable structure are i 35.6; ii 0.0, reported in kJ/mol of atoms.

---

i | Computed, not measured: a geometry-optimized NaCa2La structure at the GGA-PBE level of DFT.

abc: 3.804 3.804 12.779
angles: 81.44 81.44 60.00
Element x y z (fractional)
Ca 0.751 0.751 0.747
Ca 0.249 0.249 0.253
Na 0.000 0.000 0.000
La 0.500 0.500 0.500

Output
Fermi-level density of states (states/eV per cell): 4.996
Total magnetic moment (Bohr magnetons per cell): 0.0

---

ii | Computed, not measured: a geometry-optimized NaCa2La structure at the GGA-PBE level of DFT.

abc: 4.260 4.260 8.656
angles: 90.00 90.00 90.00
Element x y z (fractional)
Ca 0.000 0.000 0.245
Ca 0.000 0.000 0.755
Na 0.500 0.500 0.000
La 0.500 0.500 0.500

Output
Fermi-level density of states (states/eV per cell): 3.801
Total magnetic moment (Bohr magnetons per cell): 0.0

---

Energies relative to the most stable structure are i 0.0; ii 3.2, reported in kJ/mol of atoms.

---

i | Computed, not measured: a geometry-optimized NaCaLa3 structure at the GGA-PBE level of DFT.

abc: 6.050 6.050 6.050
angles: 90.00 90.00 90.00
Element x y z (fractional)
La 0.500 0.000 0.000
La 0.000 0.500 0.000
La 0.000 0.000 0.500
Ca 0.000 0.000 0.000
Na 0.500 0.500 0.500

Output
Fermi-level density of states (states/eV per cell): 3.546
Total magnetic moment (Bohr magnetons per cell): 0.0

---

ii | Computed, not measured: a geometry-optimized NaCaLa3 structure at the GGA-PBE level of DFT.

abc: 5.934 5.934 5.934
angles: 90.00 90.00 90.00
Element x y z (fractional)
Ca 0.500 0.500 0.500
La 0.500 0.000 0.000
La 0.000 0.500 0.000
La 0.000 0.000 0.500
Na 0.000 0.000 0.000

Output
Fermi-level density of states (states/eV per cell): 9.463
Total magnetic moment (Bohr magnetons per cell): 0.0

---

Energies relative to the most stable structure are i 11.3; ii 0.0, reported in kJ/mol of atoms.